First-principles (PBE) data for a geometry-optimized Na6TlPb structure, as listed in the Alexandria database.

Cell lengths 5.7442, 7.0071, 7.0071 Å; angles 60.20, 90.00, 90.00 degrees
Closest atoms and distances in Å follow each position.
Atoms (fractional coordinates):
Na1 0.0000 0.0000 0.0000  8 Na 3.32-3.69, 2 Pb 3.46, 2 Tl 3.52
Na2 0.0000 0.0009 0.4727  8 Na 3.32-3.71, 2 Pb 3.45, 2 Tl 3.50-3.51
Na3 0.0000 0.4727 0.0009  8 Na 3.32-3.71, 2 Pb 3.45, 2 Tl 3.50-3.51
Na4 0.5000 0.1718 0.6526  8 Na 3.38-3.65, 2 Tl 3.47, 2 Pb 3.50-3.51
Na5 0.5000 0.6526 0.1718  8 Na 3.38-3.65, 2 Tl 3.47, 2 Pb 3.50-3.51
Na6 0.5000 0.6537 0.6537  8 Na 3.38-3.63, 2 Tl 3.48, 2 Pb 3.51
Tl1 0.0000 0.4921 0.4921  12 Na 3.47-3.52
Pb1 0.5000 0.1584 0.1584  12 Na 3.45-3.51

## Properties
E_form, eV per atom: -0.093
Mass density, g cm⁻³: 3.73
DFT total energy, hartree per atom: -0.0677
Total magnetic moment, μB/f.u.: 0.000

First-principles (PBE) data for a geometry-optimized Pm3Sm2Y6Tm structure, as listed in the Alexandria database.

Cell lengths 6.2272, 6.2272, 11.8702 Å; angles 95.00, 95.00, 119.97 degrees
Closest atoms and distances in Å follow each position.
Atoms (fractional coordinates):
Pm1 0.0000 0.0000 0.0000  6 Pm 3.59-3.60, 6 Y 3.60
Pm2 0.3333 0.6667 0.0000  6 Pm 3.59-3.60, 6 Y 3.60
Pm3 0.6667 0.3333 0.0000  6 Pm 3.59-3.60, 6 Y 3.60
Sm1 0.1664 0.8336 0.5000  6 Y 3.57, 3 Sm 3.59-3.60, 3 Tm 3.59-3.60
Sm2 0.8336 0.1664 0.5000  6 Y 3.57, 3 Sm 3.59-3.60, 3 Tm 3.59-3.60
Y1 0.0846 0.4173 0.2516  1 Tm 3.57, 2 Sm 3.57, 6 Y 3.59-3.60, 3 Pm 3.60
Y2 0.2502 0.2502 0.7488  1 Tm 3.57, 2 Sm 3.57, 6 Y 3.59-3.60, 3 Pm 3.60
Y3 0.4173 0.0846 0.2516  1 Tm 3.57, 2 Sm 3.57, 6 Y 3.59-3.60, 3 Pm 3.60
Y4 0.5827 0.9154 0.7484  1 Tm 3.57, 2 Sm 3.57, 6 Y 3.59-3.60, 3 Pm 3.60
Y5 0.7498 0.7498 0.2512  1 Tm 3.57, 2 Sm 3.57, 6 Y 3.59-3.60, 3 Pm 3.60
Y6 0.9154 0.5827 0.7484  1 Tm 3.57, 2 Sm 3.57, 6 Y 3.59-3.60, 3 Pm 3.60
Tm1 0.5000 0.5000 0.5000  6 Y 3.57, 6 Sm 3.59-3.60

## Properties
E_form, eV per atom: 0.015
Mass density, g cm⁻³: 6.08
DFT total energy, hartree per atom: -0.2045
Total magnetic moment, μB/f.u.: 0.000

First-principles (PBE) data for a geometry-optimized Th2ZnInOs structure, as listed in the Alexandria database.

Cell lengths 7.6633, 4.3142, 7.9338 Å; angles 90.00, 107.70, 90.00 degrees
Closest atoms and distances in Å follow each position.
Atoms (fractional coordinates):
Th1 0.1133 0.2500 0.3398  2 Os 2.87
Th2 0.2836 0.2500 0.9690  3 Os 2.85-3.01
Th3 0.7164 0.7500 0.0310  3 Os 2.85-3.01
Th4 0.8867 0.7500 0.6602  2 Os 2.87
Zn1 0.4458 0.7500 0.3444  1 Os 2.61, 2 In 2.77
Zn2 0.5542 0.2500 0.6556  1 Os 2.61, 2 In 2.77
In1 0.3298 0.7500 0.6636  3 Zn 2.77-2.93
In2 0.6702 0.2500 0.3364  3 Zn 2.77-2.93
Os1 0.1252 0.7500 0.1054  1 Zn 2.61, 4 Th 2.85-2.87
Os2 0.8748 0.2500 0.8946  1 Zn 2.61, 4 Th 2.85-2.87

## Properties
E_form, eV per atom: -0.287
Mass density, g cm⁻³: 11.09
DFT total energy, hartree per atom: -0.2317
Total magnetic moment, μB/f.u.: 0.000

First-principles (PBE) data for a geometry-optimized TbNb2Cr structure, as listed in the Alexandria database.

Cell lengths 9.9533, 9.9533, 9.9533 Å; angles 17.72, 17.72, 17.72 degrees
Closest atoms and distances in Å follow each position.
Atoms (fractional coordinates):
Tb1 0.0000 0.0000 0.0000  2 Nb 3.02, 6 Tb 3.07
Nb1 0.1028 0.1028 0.1028  3 Cr 2.58
Nb2 0.8972 0.8972 0.8972  3 Cr 2.58
Cr1 0.5000 0.5000 0.5000  6 Nb 2.58

## Properties
E_form, eV per atom: 0.578
Mass density, g cm⁻³: 8.26
DFT total energy, hartree per atom: -0.2947
Total magnetic moment, μB/f.u.: 0.000

First-principles (PBE) data for a geometry-optimized LiAsPCl2 structure, as listed in the Alexandria database.

Cell lengths 5.2360, 5.2360, 4.7872 Å; angles 90.00, 90.00, 90.00 degrees
Closest atoms and distances in Å follow each position.
Atoms (fractional coordinates):
Li1 0.0000 0.0000 0.0000  8 Cl 3.55, 4 P 3.70
As1 0.5000 0.5000 0.5000  2 P 2.39, 4 Cl 2.62
P1 0.5000 0.5000 0.0000  2 As 2.39
Cl1 0.0000 0.5000 0.5000  2 As 2.62
Cl2 0.5000 0.0000 0.5000  2 As 2.62

## Properties
Mass density, g cm⁻³: 2.32
DFT total energy, hartree per atom: -0.1192
Formation energy (no corrections), eV/atom: -0.1103
Total magnetic moment, μB/f.u.: 0.778

First-principles (PBE) data for a geometry-optimized In2BiHW structure, as listed in the Alexandria database.

Cell lengths 5.1208, 5.1208, 3.6729 Å; angles 90.00, 90.00, 90.00 degrees
Closest atoms and distances in Å follow each position.
Atoms (fractional coordinates):
In1 0.0000 0.5000 0.0000  2 H 2.56
In2 0.5000 0.0000 0.0000  2 H 2.56
Bi1 0.0000 0.0000 0.5000  8 In 3.15
H1 0.5000 0.5000 0.0000  2 W 1.84
W1 0.5000 0.5000 0.5000  2 H 1.84

## Properties
Mass density, g cm⁻³: 10.75
DFT total energy, hartree per atom: -0.1631
Total magnetic moment, μB/f.u.: 0.000

First-principles (PBE) data for a geometry-optimized Sr2MgGe structure, as listed in the Alexandria database.

Cell lengths 11.4217, 11.4217, 11.4217 Å; angles 153.28, 153.28, 38.15 degrees
Closest atoms and distances in Å follow each position.
Atoms (fractional coordinates):
Sr1 0.1013 0.6250 0.9763  2 Ge 3.23, 2 Mg 3.33, 2 Sr 3.56
Sr2 0.3750 0.3513 0.4763  2 Ge 3.23, 2 Mg 3.33, 2 Sr 3.56
Sr3 0.6487 0.1250 0.0237  2 Ge 3.23, 2 Mg 3.33, 2 Sr 3.56
Sr4 0.8750 0.8987 0.5237  2 Ge 3.23, 2 Mg 3.33, 2 Sr 3.56
Mg1 0.2500 0.7500 0.5000  4 Sr 3.33, 4 Ge 3.73
Mg2 0.5000 0.5000 0.0000  4 Sr 3.33, 4 Ge 3.73
Ge1 0.0000 0.0000 0.0000  4 Sr 3.23
Ge2 0.7500 0.2500 0.5000  4 Sr 3.23

## Properties
E_form, eV per atom: 0.246
Mass density, g cm⁻³: 3.01
DFT total energy, hartree per atom: -0.0789
Total magnetic moment, μB/f.u.: 0.000

First-principles (PBE) data for a geometry-optimized Rb2ZrNbF6 structure, as listed in the Alexandria database.

Cell lengths 6.4031, 6.4031, 6.4031 Å; angles 120.93, 120.93, 88.39 degrees
Closest atoms and distances in Å follow each position.
Atoms (fractional coordinates):
Rb1 0.2500 0.7500 0.5000  12 F 3.16-3.20
Rb2 0.7500 0.2500 0.5000  12 F 3.16-3.20
Zr1 0.0000 0.0000 0.0000  6 F 2.22-2.35
Nb1 0.5000 0.5000 0.0000  6 F 2.24
F1 0.2490 0.2490 0.4981  1 Zr 2.22, 1 Nb 2.24
F2 0.2490 0.7510 0.0000  1 Zr 2.22, 1 Nb 2.24
F3 0.2561 0.2561 0.0000  1 Nb 2.24, 1 Zr 2.35
F4 0.7439 0.7439 0.0000  1 Nb 2.24, 1 Zr 2.35
F5 0.7510 0.2490 0.0000  1 Zr 2.22, 1 Nb 2.24
F6 0.7510 0.7510 0.5019  1 Zr 2.22, 1 Nb 2.24

## Properties
Mass density, g cm⁻³: 4.26
DFT total energy, hartree per atom: -0.2045
Formation energy (no corrections), eV/atom: -2.3873
Total magnetic moment, μB/f.u.: 4.881